# 1
The following is a DFT calculation (PBE) of crystalline Mn2SiMo at its relaxed geometry.

Formation energy without anion corrections in eV per atom: -0.1560
Calculated total energy in eV per cell: -70.43

CIF file:
```
data_Mn2SiMo
_cell_length_a 3.258
_cell_length_b 4.029
_cell_length_c 7.759
_cell_angle_alpha 90.00
_cell_angle_beta 90.00
_cell_angle_gamma 90.00
_symmetry_space_group_name_H-M 'I m m m'
_symmetry_Int_Tables_number 71
_symmetry_space_group_name_Hall '-I 2 2'
loop_
_atom_site_label
_atom_site_fract_x
_atom_site_fract_y
_atom_site_fract_z
Mn1 0.000 0.000 0.248
Si1 0.000 0.500 0.500
Mo1 0.000 0.500 0.000
```

***

# 2
The following is a DFT calculation (PBE) of crystalline Mg2CdAs at its relaxed geometry.

Calculated total energy in eV per cell: -18.56
E_form in eV per atom: -0.13

CIF file:
```
data_Mg2CdAs
_cell_length_a 10.628
_cell_length_b 3.503
_cell_length_c 4.664
_cell_angle_alpha 90.00
_cell_angle_beta 99.62
_cell_angle_gamma 90.00
_symmetry_space_group_name_H-M 'C 1 m 1'
_symmetry_Int_Tables_number 8
loop_
_symmetry_equiv_pos_as_xyz
'x,y,z'
'x,-y,z'
'x+1/2,y+1/2,z'
'x+1/2,-y+1/2,z'
loop_
_atom_site_label
_atom_site_fract_x
_atom_site_fract_y
_atom_site_fract_z
Mg1 0.000 0.000 0.000
Mg2 0.232 0.000 0.648
Cd1 0.249 0.500 0.156
As1 0.007 0.500 0.513
```

***

# 3
The following is a DFT calculation (PBE) of crystalline MgBe2Ru at its relaxed geometry.

Calculated total energy in eV per cell: -52.15
E_form in eV per atom: 0.23

CIF file:
```
data_MgBe2Ru
_cell_length_a 2.7660
_cell_length_b 2.7660
_cell_length_c 24.0877
_cell_angle_alpha 90.00
_cell_angle_beta 90.00
_cell_angle_gamma 120.00
_symmetry_space_group_name_H-M 'R -3 m'
_symmetry_Int_Tables_number 166
_symmetry_space_group_name_Hall '-R 3 2"'
loop_
_atom_site_label
_atom_site_fract_x
_atom_site_fract_y
_atom_site_fract_z
Mg1 0.0000 0.0000 0.0000
Be1 0.0000 0.0000 0.2388
Ru1 0.0000 0.0000 0.5000
```

***

# 4
The following is a DFT calculation (PBE) of crystalline Tb2Sm6Dy at its relaxed geometry.

Calculated total energy in eV per cell: -81.97
E_form in eV per atom: 0.13

CIF file:
```
data_Tb2Sm6Dy
_cell_length_a 9.365
_cell_length_b 17.637
_cell_length_c 3.643
_cell_angle_alpha 90.00
_cell_angle_beta 90.00
_cell_angle_gamma 90.00
_symmetry_space_group_name_H-M 'C m m m'
_symmetry_Int_Tables_number 65
_symmetry_space_group_name_Hall '-C 2 2'
loop_
_atom_site_label
_atom_site_fract_x
_atom_site_fract_y
_atom_site_fract_z
Tb1 0.000 0.179 0.000
Sm1 0.177 0.336 0.500
Sm2 0.184 0.500 0.000
Dy1 0.000 0.000 0.500
```

***

# 5
The following is a DFT calculation (PBE) of crystalline HoZrAg2 at its relaxed geometry.

Calculated total energy in eV per cell: -19.30
E_form in eV per atom: -0.12

CIF file:
```
data_HoZrAg2
_cell_length_a 3.542
_cell_length_b 3.542
_cell_length_c 7.036
_cell_angle_alpha 90.00
_cell_angle_beta 90.00
_cell_angle_gamma 90.00
_symmetry_space_group_name_H-M 'P 4/m m m'
_symmetry_Int_Tables_number 123
_symmetry_space_group_name_Hall '-P 4 2'
loop_
_atom_site_label
_atom_site_fract_x
_atom_site_fract_y
_atom_site_fract_z
Ho1 0.000 0.000 0.000
Zr1 0.000 0.000 0.500
Ag1 0.500 0.500 0.263
```

***

# 6
The following is a DFT calculation (PBE) of crystalline Ho5In4Ir at its relaxed geometry.

Calculated total energy in eV per cell: -48.29
E_form in eV per atom: -0.56

CIF file:
```
data_Ho5In4Ir
_cell_length_a 3.483
_cell_length_b 3.483
_cell_length_c 20.559
_cell_angle_alpha 90.00
_cell_angle_beta 90.00
_cell_angle_gamma 90.00
_symmetry_space_group_name_H-M 'P 4/m m m'
_symmetry_Int_Tables_number 123
_symmetry_space_group_name_Hall '-P 4 2'
loop_
_atom_site_label
_atom_site_fract_x
_atom_site_fract_y
_atom_site_fract_z
Ho1 0.000 0.000 0.000
Ho2 0.000 0.000 0.209
Ho3 0.000 0.000 0.421
In1 0.500 0.500 0.104
In2 0.500 0.500 0.312
Ir1 0.500 0.500 0.500
```

***

# 7
The following is a DFT calculation (PBE) of crystalline Hg2TeRh at its relaxed geometry.

Formation energy without anion corrections in eV per atom: 0.3039
Calculated total energy in eV per cell: -19.76

CIF file:
```
data_Hg2TeRh
_cell_length_a 4.451
_cell_length_b 4.451
_cell_length_c 8.582
_cell_angle_alpha 90.00
_cell_angle_beta 90.00
_cell_angle_gamma 90.00
_symmetry_space_group_name_H-M 'I -4 m 2'
_symmetry_Int_Tables_number 119
_symmetry_space_group_name_Hall 'I -4 -2'
loop_
_atom_site_label
_atom_site_fract_x
_atom_site_fract_y
_atom_site_fract_z
Hg1 0.000 0.000 0.000
Hg2 0.000 0.500 0.250
Te1 0.000 0.000 0.500
Rh1 0.000 0.500 0.750
```

***

# 8
The following is a DFT calculation (PBE) of crystalline Li12Cu6Pt at its relaxed geometry.

Calculated total energy in eV per cell: -165.67
E_form in eV per atom: -0.09

CIF file:
```
data_Li12Cu6Pt
_cell_length_a 9.3080
_cell_length_b 9.3080
_cell_length_c 11.5239
_cell_angle_alpha 90.00
_cell_angle_beta 90.00
_cell_angle_gamma 120.00
_symmetry_space_group_name_H-M 'R -3'
_symmetry_Int_Tables_number 148
_symmetry_space_group_name_Hall '-R 3'
loop_
_atom_site_label
_atom_site_fract_x
_atom_site_fract_y
_atom_site_fract_z
Li1 0.0341 0.1896 0.3151
Li2 0.0591 0.8385 0.9136
Cu1 0.0315 0.4410 0.1987
Pt1 0.0000 0.0000 0.5000
```

***

# 9
The following is a DFT calculation (PBE) of crystalline MgSc2TiN at its relaxed geometry.

Formation energy without anion corrections in eV per atom: -0.7544
Calculated total energy in eV per cell: -34.25

CIF file:
```
data_MgSc2TiN
_cell_length_a 4.506
_cell_length_b 4.506
_cell_length_c 4.225
_cell_angle_alpha 90.00
_cell_angle_beta 90.00
_cell_angle_gamma 90.00
_symmetry_space_group_name_H-M 'P 4/m m m'
_symmetry_Int_Tables_number 123
_symmetry_space_group_name_Hall '-P 4 2'
loop_
_atom_site_label
_atom_site_fract_x
_atom_site_fract_y
_atom_site_fract_z
Mg1 0.000 0.000 0.000
Sc1 0.000 0.500 0.500
Ti1 0.500 0.500 0.000
N1 0.500 0.500 0.500
```

***

# 10
The following is a DFT calculation (PBE) of crystalline HoEr3Sc8 at its relaxed geometry.

Calculated total energy in eV per cell: -130.67
E_form in eV per atom: 0.30

CIF file:
```
data_HoEr3Sc8
_cell_length_a 5.913
_cell_length_b 10.568
_cell_length_c 10.919
_cell_angle_alpha 90.00
_cell_angle_beta 90.00
_cell_angle_gamma 90.00
_symmetry_space_group_name_H-M 'I m m m'
_symmetry_Int_Tables_number 71
_symmetry_space_group_name_Hall '-I 2 2'
loop_
_atom_site_label
_atom_site_fract_x
_atom_site_fract_y
_atom_site_fract_z
Ho1 0.000 0.000 0.000
Er1 0.000 0.250 0.500
Er2 0.000 0.500 0.000
Sc1 0.000 0.250 0.175
Sc2 0.250 0.000 0.250
```

***

# 11
The following is a DFT calculation (PBE) of crystalline Dy2Ni3Ge4Ru at its relaxed geometry.

Calculated total energy in eV per cell: -61.14
E_form in eV per atom: -0.69

CIF file:
```
data_Dy2Ni3Ge4Ru
_cell_length_a 4.075
_cell_length_b 4.075
_cell_length_c 9.911
_cell_angle_alpha 90.00
_cell_angle_beta 90.00
_cell_angle_gamma 90.00
_symmetry_space_group_name_H-M 'P -4 m 2'
_symmetry_Int_Tables_number 115
loop_
_symmetry_equiv_pos_as_xyz
'x,y,z'
'y,-x,-z'
'-x,-y,z'
'-y,x,-z'
'-x,y,z'
'-y,-x,-z'
'x,-y,z'
'y,x,-z'
loop_
_atom_site_label
_atom_site_fract_x
_atom_site_fract_y
_atom_site_fract_z
Dy1 0.000 0.500 0.242
Ni1 0.000 0.500 0.873
Ni2 0.500 0.500 0.500
Ge1 0.000 0.000 0.000
Ge2 0.000 0.500 0.637
Ge3 0.500 0.500 0.000
Ru1 0.000 0.000 0.500
```

***

# 12
The following is a DFT calculation (PBE) of crystalline KBaOs at its relaxed geometry.

Calculated total energy in eV per cell: -10.32
E_form in eV per atom: 1.31

CIF file:
```
data_KBaOs
_cell_length_a 3.6087
_cell_length_b 3.6087
_cell_length_c 8.9804
_cell_angle_alpha 90.00
_cell_angle_beta 90.00
_cell_angle_gamma 120.00
_symmetry_space_group_name_H-M 'P 3 m 1'
_symmetry_Int_Tables_number 156
loop_
_symmetry_equiv_pos_as_xyz
'x,y,z'
'-y,x-y,z'
'-x+y,-x,z'
'-y,-x,z'
'-x+y,y,z'
'x,x-y,z'
loop_
_atom_site_label
_atom_site_fract_x
_atom_site_fract_y
_atom_site_fract_z
K1 0.0000 0.0000 0.0000
Ba1 0.3333 0.6667 0.5168
Os1 0.6667 0.3333 0.2768
```

***

Number 1: DOS(E_F) 3.28 states/eV/f.u.. Number 2: DOS(E_F) 1.60 states/eV/f.u.. Number 3: DOS(E_F) 1.98 states/eV/f.u.. Number 4: DOS(E_F) 12.78 states/eV/f.u.. Number 5: DOS(E_F) 3.29 states/eV/f.u.. Number 6: DOS(E_F) 4.67 states/eV/f.u.. Number 7: DOS(E_F) 4.10 states/eV/f.u.. Number 8: DOS(E_F) 6.77 states/eV/f.u.. Number 9: DOS(E_F) 3.74 states/eV/f.u.. Number 10: DOS(E_F) 24.00 states/eV/f.u.. Number 11: DOS(E_F) 3.71 states/eV/f.u.. Number 12: DOS(E_F) 2.09 states/eV/f.u..